The following is a GGA-PBEsol calculation of KMg3B after structural relaxation, from Alexandria via LeMat-Bulk.

a = 6.132 Å, b = 6.132 Å, c = 6.132 Å
α = 90.00°, β = 90.00°, γ = 90.00°
Each line ends with the local moment (μB).
Fractional positions:
K 0.000 0.000 0.000  0.01
B 0.500 0.500 0.500  0.30
Mg 0.000 0.500 0.000  0.00
Mg 0.000 0.000 0.500  0.00
Mg 0.500 0.000 0.000  0.00

## Properties
* Fermi-level density of states: 4.8 states/eV/cell
* calculated volume: 231 Å³/cell
* electronic total energy: -0.62 eV/atom
* formation energy from the elements: 2036 meV/atom